Compound: TiCuIN2
Source: Alexandria via LeMat-Bulk
Functional: PBEsol
Structure: relaxed

Properties
DOS at the Fermi energy = 5.35 states/eV/cell

Cell: 3.8578 3.8578 5.1281 Å, 90.00 90.00 90.00°
Last column: nearest neighbours and their distance in Å.
Positions (direct):
N 0.0000 0.5000 0.0000  2 Cu 1.93
Cu 0.0000 0.0000 0.0000  4 N 1.93
I 0.0000 0.0000 0.5000  2 Cu 2.56, 4 Ti 2.73
Ti 0.5000 0.5000 0.5000  4 I 2.73
N 0.5000 0.0000 0.0000  2 Cu 1.93

***

Compound: NaCu2I
Source: Alexandria via LeMat-Bulk
Functional: PBEsol
Structure: relaxed

Properties
DOS at the Fermi energy = 1.07 states/eV/cell

Cell: 4.7811 4.7811 4.7811 Å, 60.00 60.00 60.00°
Last column: nearest neighbours and their distance in Å.
Positions (direct):
Cu 0.7500 0.7500 0.7500  4 Na 2.93, 4 I 2.93
Na 0.0000 0.0000 0.0000  8 Cu 2.93
Cu 0.2500 0.2500 0.2500  4 I 2.93, 4 Na 2.93
I 0.5000 0.5000 0.5000  8 Cu 2.93

***

Compound: NaCuIO2
Source: Alexandria via LeMat-Bulk
Functional: PBEsol
Structure: relaxed

Properties
DOS at the Fermi energy = 4.14 states/eV/cell

Cell: 3.9513 3.9513 5.3309 Å, 90.00 90.00 90.00°
Last column: nearest neighbours and their distance in Å.
Positions (direct):
Na 0.5000 0.5000 0.5000  4 I 2.79
I 0.0000 0.0000 0.5000  2 Cu 2.67, 4 Na 2.79
O 0.5000 0.0000 0.0000  2 Cu 1.98
Cu 0.0000 0.0000 0.0000  4 O 1.98
O 0.0000 0.5000 0.0000  2 Cu 1.98

***

Compound: RbNa2CuI
Source: Alexandria via LeMat-Bulk
Functional: PBEsol
Structure: relaxed

Properties
DOS at the Fermi energy = 3.05 states/eV/cell

Cell: 6.2443 6.7634 6.7634 Å, 90.00 90.00 90.00°
Last column: nearest neighbours and their distance in Å.
Positions (direct):
Rb 0.0000 0.0000 0.0000  2 I 3.12, 4 Na 3.38
I 0.5000 0.0000 0.0000  2 Rb 3.12
Na 0.0000 0.5000 0.0000  2 Rb 3.38
Na 0.0000 0.0000 0.5000  2 Rb 3.38
Cu 0.5000 0.5000 0.5000  8 Na 4.60, 4 I 4.78

***

Compound: NaSr2CuI
Source: Alexandria via LeMat-Bulk
Functional: PBEsol
Structure: relaxed

Properties
DOS at the Fermi energy = 2.61 states/eV/cell

Cell: 5.3212 5.8782 5.8782 Å, 90.00 90.00 90.00°
Last column: nearest neighbours and their distance in Å.
Positions (direct):
Sr 0.0000 0.5000 0.0000  2 Cu 2.94
Na 0.5000 0.0000 0.0000  2 Cu 2.66
I 0.5000 0.5000 0.5000  8 Sr 3.96, 4 Na 4.16
Sr 0.0000 0.0000 0.5000  2 Cu 2.94
Cu 0.0000 0.0000 0.0000  2 Na 2.66, 4 Sr 2.94

***

Compound: Nb3CuI
Source: Alexandria via LeMat-Bulk
Functional: PBEsol
Structure: relaxed

Properties
DOS at the Fermi energy = 12.07 states/eV/cell

Cell: 4.9437 4.9437 4.9437 Å, 90.00 90.00 90.00°
Last column: nearest neighbours and their distance in Å.
Positions (direct):
Nb 0.0000 0.5000 0.0000  2 I 2.47
Cu 0.5000 0.5000 0.5000  12 Nb 3.50
Nb 0.5000 0.0000 0.0000  2 I 2.47
I 0.0000 0.0000 0.0000  6 Nb 2.47
Nb 0.0000 0.0000 0.5000  2 I 2.47

***

no.,energy (eV/atom),total magnetization (μB/f.u.)
1,-4.93,0.2
2,-2.48,0.0
3,-3.75,1.7
4,-1.42,0.0
5,-2.46,0.0
6,-5.71,0.1